(1)
CsKGeTe2 | PBE-GGA | relaxed

a b c (Å): 7.4547 15.3459 7.2048
angles (deg): 90.00 90.00 90.00
With the nearest neighbours (Å) after each atom.
Space group Cmme (No. 67)
Asymmetric unit:
Cs1 0.0000 0.2500 0.2464 x4  8 Te 3.83-4.06, 2 Ge 4.25
K1 0.2500 0.0000 0.0000 x4  4 Te 3.51, 2 K 3.73
Ge1 0.0000 0.0000 0.5000 x4  2 Te 2.79
Te1 0.0000 0.1464 0.7295 x8  1 Ge 2.79

Computed properties:
* E_tot: -2.98 eV/atom
* V: 41.211 Å³ per atom
* N(E_F): 2.33 states/eV/f.u.
* energy relative to the elements, uncorrected: -2.029 eV/f.u.
* total magnetic moment: 2.01 μB per cell

(2)
CsLa3Ge | PBE-GGA | relaxed

a b c (Å): 6.0217 6.0217 6.0217
angles (deg): 90.00 90.00 90.00
With the nearest neighbours (Å) after each atom.
Space group Pm-3m (No. 221)
Asymmetric unit:
Cs1 0.0000 0.0000 0.0000 x1  12 La 4.26
La1 0.0000 0.5000 0.5000 x3  2 Ge 3.01
Ge1 0.5000 0.5000 0.5000 x1  6 La 3.01

Computed properties:
* E_tot: -3.97 eV/atom
* ΔH_f (0 K): 80 meV/atom
* V: 43.670 Å³ per atom
* N(E_F): 8.34 states/eV/f.u.
* offset from the most stable computed form: 0.00 eV per formula unit
* total magnetic moment: 0.00 μB per cell

(3)
CsLa2Ge2 | PBE-GGA | relaxed

a b c (Å): 5.3582 5.3582 11.8987
angles (deg): 90.00 90.00 90.00
With the nearest neighbours (Å) after each atom.
Space group I4/mmm (No. 139)
Asymmetric unit:
Cs1 0.0000 0.0000 0.0000 x2  8 La 4.00, 8 Ge 4.02
La1 0.0000 0.5000 0.2500 x4  4 Ge 3.14
Ge1 0.0000 0.0000 0.3875 x4  1 Ge 2.68

Computed properties:
* E_tot: -4.24 eV/atom
* ΔH_f (0 K): -249 meV/atom
* V: 34.161 Å³ per atom
* N(E_F): 6.43 states/eV/f.u.
* total magnetic moment: 0.00 μB per cell

(4)
CsLa3Ge | PBE-GGA | relaxed

a b c (Å): 5.7998 5.7998 5.7998
angles (deg): 90.00 90.00 90.00
With the nearest neighbours (Å) after each atom.
Space group Pm-3m (No. 221)
Asymmetric unit:
Cs1 0.0000 0.0000 0.0000 x1  6 La 2.90
La1 0.0000 0.0000 0.5000 x3  2 Cs 2.90
Ge1 0.5000 0.5000 0.5000 x1  12 La 4.10

Computed properties:
* E_tot: -3.02 eV/atom
* ΔH_f (0 K): 1035 meV/atom
* V: 39.018 Å³ per atom
* N(E_F): 3.03 states/eV/f.u.
* offset from the most stable computed form: 4.77 eV per formula unit
* total magnetic moment: 0.00 μB per cell

(5)
CsLa2Ge | PBE-GGA | relaxed

a b c (Å): 9.1857 9.1857 7.4614
angles (deg): 90.00 90.00 90.00
With the nearest neighbours (Å) after each atom.
Space group I-42d (No. 122)
Asymmetric unit:
Cs1 0.0000 0.0000 0.0000 x4  2 Ge 3.73, 8 La 3.79-4.01
La1 0.1874 0.7500 0.6250 x8  2 Ge 3.02
Ge1 0.0000 0.0000 0.5000 x4  4 La 3.02

Computed properties:
* E_tot: -3.72 eV/atom
* ΔH_f (0 K): 113 meV/atom
* V: 39.348 Å³ per atom
* N(E_F): 5.33 states/eV/f.u.
* total magnetic moment: 0.00 μB per cell

(6)
Cs3LaGe | PBE-GGA | relaxed

a b c (Å): 6.5850 6.5850 6.5850
angles (deg): 90.00 90.00 90.00
With the nearest neighbours (Å) after each atom.
Space group Pm-3m (No. 221)
Asymmetric unit:
Cs1 0.0000 0.0000 0.5000 x3  2 La 3.29
La1 0.0000 0.0000 0.0000 x1  6 Cs 3.29
Ge1 0.5000 0.5000 0.5000 x1  12 Cs 4.66

Computed properties:
* E_tot: -1.31 eV/atom
* ΔH_f (0 K): 1115 meV/atom
* V: 57.108 Å³ per atom
* N(E_F): 5.49 states/eV/f.u.
* total magnetic moment: 1.81 μB per cell

(7)
CsLiLaGe2 | PBE-GGA | relaxed

a b c (Å): 5.7587 5.7587 6.2958
angles (deg): 90.00 90.00 90.00
With the nearest neighbours (Å) after each atom.
Space group P4/mmm (No. 123)
Asymmetric unit:
Cs1 0.0000 0.0000 0.0000 x1  4 Li 4.07, 8 Ge 4.27
Li1 0.5000 0.5000 0.0000 x1  2 La 3.15
La1 0.5000 0.5000 0.5000 x1  4 Ge 2.88, 2 Li 3.15
Ge1 0.0000 0.5000 0.5000 x2  2 La 2.88

Computed properties:
* E_tot: -2.99 eV/atom
* ΔH_f (0 K): 391 meV/atom
* V: 41.756 Å³ per atom
* N(E_F): 5.18 states/eV/f.u.
* total magnetic moment: 0.00 μB per cell

(8)
CsLi2LaGe | PBE-GGA | relaxed

a b c (Å): 5.0100 5.0100 6.4790
angles (deg): 90.00 90.00 90.00
With the nearest neighbours (Å) after each atom.
Space group P4/mmm (No. 123)
Asymmetric unit:
Cs1 0.0000 0.0000 0.0000 x1  2 Ge 3.24, 4 La 3.54
Li1 0.0000 0.5000 0.5000 x2  2 Ge 2.51
La1 0.5000 0.5000 0.0000 x1  4 Cs 3.54
Ge1 0.0000 0.0000 0.5000 x1  4 Li 2.51

Computed properties:
* E_tot: -2.38 eV/atom
* ΔH_f (0 K): 467 meV/atom
* V: 32.525 Å³ per atom
* N(E_F): 6.31 states/eV/f.u.
* total magnetic moment: 0.00 μB per cell

(9)
CsLa2GeO5 | PBE-GGA | relaxed

a b c (Å): 7.0770 7.0770 6.0218
angles (deg): 90.00 90.00 90.00
With the nearest neighbours (Å) after each atom.
Space group P4/mbm (No. 127)
Asymmetric unit:
Cs1 0.0000 0.0000 0.0000 x2  10 O 3.01-3.15
La1 0.1819 0.3181 0.5000 x4  8 O 2.42-2.70
Ge1 0.0000 0.5000 0.0000 x2  4 O 1.98
O1 0.0000 0.0000 0.5000 x2  4 La 2.59
O2 0.1300 0.6300 0.2484 x8  1 Ge 1.98

Computed properties:
* E_tot: -6.78 eV/atom
* V: 16.755 Å³ per atom
* N(E_F): 2.15 states/eV/f.u.
* energy relative to the elements, uncorrected: -20.889 eV/f.u.
* total magnetic moment: 1.81 μB per cell

(10)
Cs2LaGeO4 | PBE-GGA | relaxed

a b c (Å): 6.0408 13.4868 25.7294
angles (deg): 90.00 90.00 90.00
With the nearest neighbours (Å) after each atom.
Space group Fddd (No. 70, origin choice 2)
Asymmetric unit:
Cs1 0.1250 0.1250 0.3084 x16  4 O 3.49-3.62
La1 0.1250 0.1250 0.1250 x8  4 O 2.32
Ge1 0.1250 0.1250 0.6250 x8  4 O 1.82
O1 0.0676 0.2954 0.8405 x32  1 Ge 1.82

Computed properties:
* E_tot: -5.68 eV/atom
* V: 32.753 Å³ per atom
* N(E_F): 2.30 states/eV/f.u.
* energy relative to the elements, uncorrected: -14.321 eV/f.u.
* total magnetic moment: 0.00 μB per cell

(11)
Cs3LaGe2O8 | PBE-GGA | relaxed

a b c (Å): 6.3341 6.3341 8.5816
angles (deg): 90.00 90.00 120.00
With the nearest neighbours (Å) after each atom.
Space group P-3m1 (No. 164)
Asymmetric unit:
Cs1 0.0000 0.0000 0.0000 x1  12 O 3.50-3.70
Cs2 0.3333 0.6667 0.7232 x2  7 O 2.95-3.21
La1 0.0000 0.0000 0.5000 x1  6 O 2.41
Ge1 0.3333 0.6667 0.2752 x2  4 O 1.78
O1 0.1789 0.3579 0.3373 x6  1 Ge 1.78
O2 0.3333 0.6667 0.0673 x2  1 Ge 1.78

Computed properties:
* E_tot: -5.86 eV/atom
* V: 21.298 Å³ per atom
* N(E_F): 10.76 states/eV/f.u.
* energy relative to the elements, uncorrected: -25.664 eV/f.u.
* total magnetic moment: 2.05 μB per cell

(12)
Cs3La3GeO8 | PBE-GGA | relaxed

a b c (Å): 7.2031 7.2031 20.9469
angles (deg): 90.00 90.00 120.00
With the nearest neighbours (Å) after each atom.
Space group R-3m (No. 166, hexagonal axes)
Asymmetric unit:
Cs1 0.0000 0.5000 0.0000 x9  6 O 3.11-3.13
La1 0.0000 0.5000 0.5000 x9  6 O 2.38-2.50
Ge1 0.0000 0.0000 0.5000 x3  6 O 2.05
O1 0.0000 0.0000 0.2218 x6  3 La 2.38
O2 0.0523 0.5262 0.2173 x18  1 Ge 2.05

Computed properties:
* E_tot: -6.42 eV/atom
* V: 20.917 Å³ per atom
* energy relative to the elements, uncorrected: -34.655 eV/f.u.
* total magnetic moment: 0.00 μB per cell